{"formula": "Be4InW", "functional": "GGA-PBE", "state": "optimized geometry", "cell": [[0.0000, 3.2557, 3.2557], [3.2557, 0.0000, 3.2557], [3.2557, 3.2557, 0.0000]], "species": ["Be", "Be", "Be", "Be", "In", "W"], "fractional_positions": [[0.3808, 0.3808, 0.3808], [0.3808, 0.3808, 0.8575], [0.3808, 0.8575, 0.3808], [0.8575, 0.3808, 0.3808], [0.0000, 0.0000, 0.0000], [0.7500, 0.7500, 0.7500]], "vol_a3_per_atom": 11.503, "spacegroup": "F-43m, No. 216", "mass_density_g_cm3": 8.05, "e_form_ev_per_atom": 0.2710, "dos_ef_per_ev_cell": 3.26, "dft_energy_ev_per_atom": -4.83}

{"formula": "BeInW", "functional": "GGA-PBE", "state": "optimized geometry", "cell": [[-1.4246, 1.6996, 4.9342], [1.4246, -1.6996, 4.9342], [1.4246, 1.6996, -4.9342]], "species": ["Be", "In", "W"], "fractional_positions": [[0.0000, 0.0000, 0.0000], [0.6928, 0.6928, 0.0000], [0.3952, 0.3952, 0.0000]], "vol_a3_per_atom": 15.929, "spacegroup": "Imm2, No. 44", "mass_density_g_cm3": 10.69, "e_form_ev_per_atom": 0.5090, "dos_ef_per_ev_cell": 1.29, "dft_energy_ev_per_atom": -5.96, "e_above_lowest_polymorph_mev_per_atom": 0}

{"formula": "BeInW", "functional": "GGA-PBE", "state": "optimized geometry", "cell": [[0.0000, 2.9077, 2.9077], [2.9077, 0.0000, 2.9077], [2.9077, 2.9077, 0.0000]], "species": ["Be", "In", "W"], "fractional_positions": [[0.0000, 0.0000, 0.0000], [0.7500, 0.7500, 0.7500], [0.2500, 0.2500, 0.2500]], "vol_a3_per_atom": 16.389, "spacegroup": "F-43m, No. 216", "mass_density_g_cm3": 10.39, "e_form_ev_per_atom": 0.8534, "dos_ef_per_ev_cell": 2.11, "dft_energy_ev_per_atom": -5.62, "e_above_lowest_polymorph_mev_per_atom": 344}

{"formula": "BeInW4", "functional": "GGA-PBE", "state": "optimized geometry", "cell": [[0.0000, 3.7612, 3.7612], [3.7612, 0.0000, 3.7612], [3.7612, 3.7612, 0.0000]], "species": ["Be", "In", "W", "W", "W", "W"], "fractional_positions": [[0.0000, 0.0000, 0.0000], [0.7500, 0.7500, 0.7500], [0.3744, 0.3744, 0.3744], [0.3744, 0.3744, 0.8769], [0.3744, 0.8769, 0.3744], [0.8769, 0.3744, 0.3744]], "vol_a3_per_atom": 17.736, "spacegroup": "F-43m, No. 216", "mass_density_g_cm3": 13.41, "e_form_ev_per_atom": 0.8350, "dos_ef_per_ev_cell": 5.86, "dft_energy_ev_per_atom": -8.88}

{"formula": "BeIn2W", "functional": "GGA-PBE", "state": "optimized geometry", "cell": [[0.0000, 3.2926, 3.2926], [3.2926, 0.0000, 3.2926], [3.2926, 3.2926, 0.0000]], "species": ["Be", "In", "In", "W"], "fractional_positions": [[0.0000, 0.0000, 0.0000], [0.2500, 0.2500, 0.2500], [0.5000, 0.5000, 0.5000], [0.7500, 0.7500, 0.7500]], "vol_a3_per_atom": 17.849, "spacegroup": "F-43m, No. 216", "mass_density_g_cm3": 9.83, "e_form_ev_per_atom": 1.0172, "dos_ef_per_ev_cell": 2.72, "dft_energy_ev_per_atom": -4.52}

{"formula": "BeInW", "functional": "GGA-PBE", "state": "optimized geometry", "cell": [[-1.3966, 1.3966, 6.2105], [1.3966, -1.3966, 6.2105], [1.3966, 1.3966, -6.2105]], "species": ["Be", "In", "W"], "fractional_positions": [[0.0000, 0.0000, 0.0000], [0.6774, 0.6774, 0.0000], [0.3678, 0.3678, 0.0000]], "vol_a3_per_atom": 16.151, "spacegroup": "I4mm, No. 107", "mass_density_g_cm3": 10.54, "e_form_ev_per_atom": 0.6076, "dos_ef_per_ev_cell": 1.96, "dft_energy_ev_per_atom": -5.86, "e_above_lowest_polymorph_mev_per_atom": 99}

{"formula": "BeIn2W", "functional": "GGA-PBE", "state": "optimized geometry", "cell": [[-1.7963, 2.0981, 4.6673], [1.7963, -2.0981, 4.6673], [1.7963, 2.0981, -4.6673]], "species": ["Be", "In", "In", "W"], "fractional_positions": [[0.0000, 0.0000, 0.0000], [0.2660, 0.7660, 0.5000], [0.5427, 0.5427, 0.0000], [0.8163, 0.3163, 0.5000]], "vol_a3_per_atom": 17.590, "spacegroup": "Imm2, No. 44", "mass_density_g_cm3": 9.97, "e_form_ev_per_atom": 0.5397, "dos_ef_per_ev_cell": 2.04, "dft_energy_ev_per_atom": -5.00}

{"formula": "BeIn2W", "functional": "GGA-PBE", "state": "optimized geometry", "cell": [[5.4108, -1.4319, 0.0000], [5.4108, 1.4319, 0.0000], [-1.3862, 0.0000, 4.7417]], "species": ["Be", "In", "In", "W"], "fractional_positions": [[0.0000, 0.0000, 0.0000], [0.2185, 0.2185, 0.8138], [0.4305, 0.4305, 0.4512], [0.6734, 0.6734, 0.2881]], "vol_a3_per_atom": 18.369, "spacegroup": "Cm, No. 8", "mass_density_g_cm3": 9.55, "e_form_ev_per_atom": 0.5179, "dos_ef_per_ev_cell": 1.70, "dft_energy_ev_per_atom": -5.02}

{"formula": "BeIn2W", "functional": "GGA-PBE", "state": "optimized geometry", "cell": [[-3.6642, 3.6642, 2.6735], [3.6642, -3.6642, 2.6735], [3.6642, 3.6642, -2.6735]], "species": ["Be", "Be", "In", "In", "In", "In", "W", "W"], "fractional_positions": [[0.0000, 0.0000, 0.0000], [0.7500, 0.2500, 0.5000], [0.0740, 0.1250, 0.4490], [0.3750, 0.9260, 0.0510], [0.6760, 0.6250, 0.5510], [0.8750, 0.3240, 0.9490], [0.2500, 0.7500, 0.5000], [0.5000, 0.5000, 0.0000]], "vol_a3_per_atom": 17.947, "spacegroup": "I-42d, No. 122", "mass_density_g_cm3": 9.77, "e_form_ev_per_atom": 0.9267, "dos_ef_per_ev_cell": 0.50, "dft_energy_ev_per_atom": -4.61}

{"formula": "BeInW", "functional": "GGA-PBE", "state": "optimized geometry", "cell": [[0.0000, 2.2671, 6.3078], [1.6862, 0.0000, 6.3078], [1.6862, 2.2671, 0.0000]], "species": ["Be", "In", "W"], "fractional_positions": [[0.0000, 0.0000, 0.0000], [0.3294, 0.3294, 0.6706], [0.6388, 0.6388, 0.3612]], "vol_a3_per_atom": 16.076, "spacegroup": "Fmm2, No. 42", "mass_density_g_cm3": 10.59, "e_form_ev_per_atom": 0.6153, "dos_ef_per_ev_cell": 2.01, "dft_energy_ev_per_atom": -5.86, "e_above_lowest_polymorph_mev_per_atom": 106}

{"formula": "BeIn2W", "functional": "GGA-PBE", "state": "optimized geometry", "cell": [[4.9580, -1.4338, 0.0000], [4.9580, 1.4338, 0.0000], [-0.4869, 0.0000, 5.0556]], "species": ["Be", "In", "In", "W"], "fractional_positions": [[0.0000, 0.0000, 0.0000], [0.2397, 0.2397, 0.7496], [0.7603, 0.7603, 0.2504], [0.5000, 0.5000, 0.5000]], "vol_a3_per_atom": 17.969, "spacegroup": "C2/m, No. 12", "mass_density_g_cm3": 9.76, "e_form_ev_per_atom": 0.7124, "dos_ef_per_ev_cell": 0.89, "dft_energy_ev_per_atom": -4.83}

{"formula": "BeInW", "functional": "GGA-PBE", "state": "optimized geometry", "cell": [[4.4036, 0.0000, 0.0000], [-2.2018, 3.8136, 0.0000], [0.0000, 0.0000, 2.7805]], "species": ["Be", "In", "W"], "fractional_positions": [[0.0000, 0.0000, 0.0000], [0.6667, 0.3333, 0.0058], [0.3333, 0.6667, 0.5055]], "vol_a3_per_atom": 15.565, "spacegroup": "P3m1, No. 156", "mass_density_g_cm3": 10.94, "e_form_ev_per_atom": 0.6188, "dos_ef_per_ev_cell": 1.77, "dft_energy_ev_per_atom": -5.85, "e_above_lowest_polymorph_mev_per_atom": 110}